1.
First-principles (PBE) data for a relaxed structure of Dy3NpN6, as listed in Alexandria via LeMat-Bulk.

Summary:
- Crystal system: trigonal
- Formation energy (no corrections): -1.091 eV/atom

```
20
Lattice="4.827 2.787 3.787 -4.827 2.787 3.787 0.000 -5.574 3.787" Properties=species:S:1:pos:R:3 pbc="T T T"
Dy -3.361 -0.871 5.172
Dy -0.926 -3.346 6.189
Dy -2.434 2.475 6.189
Dy 2.434 -2.475 5.172
Dy 0.926 3.346 5.172
Dy 3.361 0.871 6.189
Np 0.000 0.000 0.000
Np 0.000 0.000 5.680
N -3.245 -3.005 6.250
N -4.225 1.307 5.110
N -1.126 -1.437 4.647
N 0.981 -4.313 5.110
N -1.807 0.257 6.714
N -0.681 1.694 4.647
N 0.681 -1.694 6.714
N 1.807 -0.257 4.647
N -0.981 4.313 6.250
N 1.126 1.437 6.714
N 4.225 -1.307 6.250
N 3.245 3.005 5.110
```

=====

2.
First-principles (PBE) data for a relaxed structure of Sb3S3I, as listed in Alexandria via LeMat-Bulk.

Summary:
- Crystal system: trigonal
- Formation energy (no corrections): -0.047 eV/atom

```
14
Lattice="4.247 2.452 7.779 -4.247 2.452 7.779 0.000 -4.904 7.779" Properties=species:S:1:pos:R:3 pbc="T T T"
Sb -3.179 -0.186 9.197
Sb -1.429 -2.846 14.139
Sb 1.750 -2.660 9.197
Sb -1.750 2.660 14.139
Sb 1.429 2.846 9.197
Sb 3.179 0.186 14.139
S -1.382 -2.382 8.838
S -2.754 0.006 14.498
S -1.372 2.388 8.838
S 1.372 -2.388 14.498
S 2.754 -0.006 8.838
S 1.382 2.382 14.498
I 0.000 0.000 4.041
I 0.000 0.000 19.295
```

=====

3.
First-principles (PBE) data for a relaxed structure of Ba2Bi5Rh3, as listed in Alexandria via LeMat-Bulk.

Summary:
- Calculated formation energy: -0.448 eV/atom
- Crystal system: orthorhombic
- ΔE to the lowest computed polymorph: 0.0 meV per atom

```
20
Lattice="-5.660 6.950 3.540 5.660 -6.950 3.540 5.660 6.950 -3.540" Properties=species:S:1:pos:R:3 pbc="T T T"
Ba 2.744 1.961 0.000
Ba 2.744 -1.961 3.540
Ba 2.916 8.912 0.000
Ba 2.916 4.989 3.540
Bi 5.660 -3.427 1.770
Bi 7.391 1.246 0.000
Bi 0.000 0.000 1.770
Bi 1.731 5.704 0.000
Bi 5.660 3.427 1.770
Bi 0.000 3.523 1.770
Bi 3.930 1.246 3.540
Bi 0.000 0.000 5.310
Bi -1.731 5.704 3.540
Bi 0.000 10.377 1.770
Rh 4.404 -5.134 3.540
Rh 5.660 0.000 1.770
Rh 4.404 5.134 0.000
Rh 1.257 1.816 3.540
Rh 0.000 6.950 1.770
Rh 1.257 12.084 0.000
```

=====

4.
First-principles (PBE) data for a relaxed structure of KAl2BOs, as listed in Alexandria via LeMat-Bulk.

Summary:
- Calculated formation energy: 2.906 eV/atom
- Crystal system: tetragonal

```
5
Lattice="4.865 0.000 0.000 0.000 4.865 0.000 0.000 0.000 3.955" Properties=species:S:1:pos:R:3 pbc="T T T"
K 0.000 0.000 0.000
Al 0.000 2.433 0.000
Al 2.433 0.000 0.000
B 0.000 0.000 1.978
Os 2.433 2.433 1.978
```

=====

5.
First-principles (PBE) data for a relaxed structure of CaTb2Nd3S6, as listed in Alexandria via LeMat-Bulk.

Summary:
- Crystal system: monoclinic
- Formation energy (no corrections): -2.032 eV/atom

```
12
Lattice="3.457 -5.991 0.000 3.457 5.991 0.000 -2.292 0.000 6.613" Properties=species:S:1:pos:R:3 pbc="T T T"
Ca 0.000 0.000 0.000
Tb 3.457 1.999 0.000
Tb 3.457 -1.999 0.000
Nd 2.312 4.014 3.307
Nd 2.312 0.000 3.307
Nd 2.312 -4.014 3.307
S 1.157 2.002 1.576
S 0.013 0.000 5.059
S 1.157 -2.002 1.576
S 3.466 2.002 5.037
S 4.610 0.000 1.554
S 3.466 -2.002 5.037
```

=====

6.
First-principles (PBE) data for a relaxed structure of Nd8Hg2Pd, as listed in Alexandria via LeMat-Bulk.

Summary:
- Calculated formation energy: -0.279 eV/atom
- Crystal system: monoclinic
- ΔE to the lowest computed polymorph: 0.0 meV per atom

```
11
Lattice="9.281 -2.640 0.000 9.281 2.640 0.000 -1.378 0.000 6.919" Properties=species:S:1:pos:R:3 pbc="T T T"
Nd 0.015 0.000 1.877
Nd 2.628 0.000 5.649
Nd 5.681 0.000 3.665
Nd 7.550 0.000 0.338
Nd 9.634 0.000 6.581
Nd 11.504 0.000 3.254
Nd 14.557 0.000 1.270
Nd 17.170 0.000 5.043
Hg 3.184 0.000 1.694
Hg 14.000 0.000 5.225
Pd 8.592 0.000 3.460
```

=====

Results for E_tot: -8.76 -3.80 -4.98 -2.39 -6.23 -4.27 (in eV per atom, following the order of the records).